(1)
MgTlInPb PBE-GGA relaxed; calculated volume = 111.9 Å³ per cell; space group = F-43m; size of the total moment = 0.00 μB/cell; calculated density = 8.2 g/cm³
1.0
5.408 0.000 0.000
2.704 4.684 0.000
2.704 1.561 4.416
Mg Tl In Pb
1 1 1 1
Cartesian
8.112 4.684 3.312 Mg
5.408 3.122 2.208 Tl
2.704 1.561 1.104 In
0.000 0.000 0.000 Pb

***

(2)
MgTlInPb PBE-GGA relaxed; calculated volume = 110.4 Å³ per cell; space group = P4mm; size of the total moment = 0.00 μB/cell; calculated density = 8.3 g/cm³
1.0
3.454 0.000 0.000
0.000 3.454 0.000
0.000 0.000 9.248
Pb Mg In Tl
1 1 1 1
Cartesian
1.727 1.727 7.354 Pb
0.000 0.000 5.230 Mg
1.727 1.727 3.209 In
0.000 0.000 0.712 Tl

***

Going by the computed energies, the most stable comes first: (2), (1).

***

(1)
MgIn2Pd8 PBE-GGA relaxed; calculated volume = 180.0 Å³ per cell; space group = C2/m; size of the total moment = 0.00 μB/cell; calculated density = 10.2 g/cm³
1.0
-0.827 3.407 2.215
-4.760 1.437 -3.987
-2.348 -5.740 4.070
Pd Mg In
8 1 2
Cartesian
-6.256 -0.032 1.596 Pd
-1.679 -0.864 0.702 Pd
-3.675 0.730 -2.494 Pd
-2.210 -2.494 3.011 Pd
-5.725 1.598 -0.713 Pd
-4.260 -1.626 4.792 Pd
-3.096 1.603 0.261 Pd
-4.839 -2.499 2.037 Pd
-0.414 1.704 1.108 Mg
-4.352 -0.837 -0.337 In
-3.583 -0.058 2.635 In

***

(2)
MgIn2Pd8 PBE-GGA relaxed; calculated volume = 188.3 Å³ per cell; space group = Immm; size of the total moment = 0.00 μB/cell; calculated density = 9.7 g/cm³
1.0
3.893 0.000 -1.185
-1.145 6.622 -3.761
0.131 -0.244 7.416
Pd In Mg
8 2 1
Cartesian
-0.296 1.710 -0.971 Pd
0.732 3.685 2.404 Pd
3.174 4.668 3.442 Pd
1.292 0.442 4.246 Pd
1.586 5.937 -1.775 Pd
2.393 5.389 0.875 Pd
0.486 0.990 1.596 Pd
2.147 2.694 0.066 Pd
-0.068 4.341 -0.222 In
2.946 2.038 2.692 In
1.946 0.000 -0.592 Mg

***

Going by the computed energies, the most stable comes first: (1), (2).

***

(1)
Mg8InPd2 PBE-GGA relaxed; calculated volume = 239.1 Å³ per cell; space group = C2/m; size of the total moment = 0.00 μB/cell; calculated density = 3.6 g/cm³
1.0
5.030 -0.075 -0.112
-0.937 7.235 -0.086
-0.937 -2.866 6.644
Mg In Pd
8 1 2
Cartesian
0.362 2.651 3.980 Mg
2.794 1.644 2.467 Mg
0.054 -0.467 2.149 Mg
0.054 2.163 0.397 Mg
3.103 2.132 6.050 Mg
1.578 4.676 1.539 Mg
1.578 -0.381 4.908 Mg
3.103 4.762 4.298 Mg
2.515 -0.037 -0.056 In
-0.937 0.320 4.522 Pd
-0.937 4.050 2.037 Pd

***

(2)
Mg8InPd2 PBE-GGA relaxed; calculated volume = 222.9 Å³ per cell; space group = P1; size of the total moment = 0.00 μB/cell; calculated density = 3.9 g/cm³
1.0
0.222 -4.478 -0.820
6.925 0.541 -1.295
-2.603 0.773 7.817
Mg Pd In
8 2 1
Cartesian
-0.333 -3.838 3.616 Mg
1.956 -0.884 0.718 Mg
2.183 -1.612 4.701 Mg
4.507 -1.064 2.266 Mg
-0.238 -3.294 0.680 Mg
2.312 -3.467 2.231 Mg
4.600 -0.522 -0.673 Mg
-0.504 -1.972 6.058 Mg
0.277 -1.346 2.825 Pd
3.996 -3.013 0.125 Pd
4.187 0.715 5.145 In

***

Going by the computed energies, the most stable comes first: (2), (1).